(1)
DFT (GGA-PBE) results for an optimized crystal structure of Rb2HgO. Values from VASP.

Calculated values
The calculation puts the density of states at the Fermi level at 0.000 states/eV/cell. The relative energy among the computed polymorphs comes out at 0.2879 eV per atom. As for the symmetry: Fm-3m (225). The value obtained for the final energy is -2.22 eV per atom. For the uncorrected formation energy, the calculation gives -0.42 eV per atom. Its total magnetization is 0.000 μB per cell.

The structure in Quantum ESPRESSO input format:
```
&SYSTEM
  ibrav = 0, nat = 4, ntyp = 3
/
ATOMIC_SPECIES
O 16.00 O.upf
Hg 200.59 Hg.upf
Rb 85.47 Rb.upf
CELL_PARAMETERS angstrom
2.118 4.276 2.737
-1.630 1.051 5.148
3.442 -0.857 4.205
ATOMIC_POSITIONS angstrom
O 0.000 0.000 0.000
Hg 1.965 2.235 6.045
Rb 0.982 1.117 3.022
Rb 2.947 3.352 9.067
```

(2)
DFT (GGA-PBE) results for an optimized crystal structure of Rb3Hg2O4. Values from VASP.

Calculated values
The calculation puts the density of states at the Fermi level at 8.226 states/eV/cell. The relative energy among the computed polymorphs comes out at 0.0811 eV per atom. As for the symmetry: Immm (71). The value obtained for the final energy is -3.28 eV per atom. For the uncorrected formation energy, the calculation gives -0.69 eV per atom. Its total magnetization is 1.044 μB per cell.

The structure in Quantum ESPRESSO input format:
```
&SYSTEM
  ibrav = 0, nat = 9, ntyp = 3
/
ATOMIC_SPECIES
Rb 85.47 Rb.upf
Hg 200.59 Hg.upf
O 16.00 O.upf
CELL_PARAMETERS angstrom
4.586 0.000 0.000
2.293 8.097 0.387
2.293 3.885 7.114
ATOMIC_POSITIONS angstrom
Rb 2.293 2.624 1.643
Rb 4.586 5.991 3.751
Rb 6.879 9.358 5.859
Hg 2.293 7.258 1.727
Hg 2.293 4.724 5.775
O 6.879 8.826 2.928
O 2.293 5.493 0.841
O 2.293 3.156 4.574
O 6.879 6.489 6.661
```